# GGA-PBE RbFe3Sb, relaxed
data_RbFe3Sb
_chemical_formula_sum 'Rb1 Fe3 Sb1'
_symmetry_space_group_name_H-M 'P 1'
_symmetry_Int_Tables_number 1
_symmetry_space_group_name_Hall 'P 1'
_cell_length_a 5.0139
_cell_length_b 5.0139
_cell_length_c 5.0139
_cell_angle_alpha 90.00
_cell_angle_beta 90.00
_cell_angle_gamma 90.00
loop_
_atom_site_label
_atom_site_fract_x
_atom_site_fract_y
_atom_site_fract_z
Rb1 0.0000 0.0000 0.0000
Fe1 0.0000 0.5000 0.5000
Fe2 0.5000 0.0000 0.5000
Fe3 0.5000 0.5000 0.0000
Sb1 0.5000 0.5000 0.5000
# Spin magnetization = 1.60 μB per atom
# Polymorph energy (0 for the lowest one) = 0 meV/atom
# N(E_F) = 6.987 states/eV/cell
# E_form (uncorrected) = 1.10 eV/atom
# Crystal system = cubic